(one)
An optimized crystal structure of AlAs2Pb, computed with PBE.

Unit cell a=7.0618 b=7.0618 c=7.0618 alpha=90.00 beta=90.00 gamma=90.00
With the nearest neighbours (Å) after each atom.
Space group F-43m (No. 216)
One atom of each set of equivalent atoms:
Al: 0.0000 0.0000 0.0000  4 As 3.06, 4 Pb 3.06
As: 0.0000 0.0000 0.5000  4 As 3.06, 4 Pb 3.06
As: 0.2500 0.2500 0.7500  4 Al 3.06, 4 As 3.06
Pb: 0.2500 0.2500 0.2500  4 As 3.06, 4 Al 3.06

Calculated values
Calculated volume (Å³ per cell): 352.2
D(E_F) (states/eV per cell): 8.075
Crystal system: cubic
Calculated density (g/cm3): 7.243

(two)
An optimized crystal structure of AlAs2Pb, computed with PBE.

Unit cell a=4.9377 b=3.9149 c=5.1947 alpha=90.00 beta=108.27 gamma=90.00
With the nearest neighbours (Å) after each atom.
Space group P2/m (No. 10)
One atom of each set of equivalent atoms:
Al: 0.0000 0.0000 0.0000  4 As 2.63
As: 0.2564 0.5000 0.8313  1 As 2.49, 2 Al 2.63
Pb: 0.5000 0.0000 0.5000  2 Al 2.97, 4 As 3.09

Calculated values
Calculated volume (Å³ per cell): 95.4
D(E_F) (states/eV per cell): 1.581
Crystal system: monoclinic
Calculated density (g/cm3): 6.688

Result of the stability comparison: (two) is the most stable of them.

(one)
An optimized crystal structure of BeSiMo, computed with PBE.

Unit cell a=3.8190 b=3.8190 c=2.8981 alpha=90.00 beta=90.00 gamma=120.00
With the nearest neighbours (Å) after each atom.
Space group P-6m2 (No. 187)
One atom of each set of equivalent atoms:
Be: 0.0000 0.0000 0.0000  3 Si 2.20
Si: 0.3333 0.6667 0.0000  3 Be 2.20
Mo: 0.6667 0.3333 0.5000  6 Be 2.64, 6 Si 2.64, 2 Mo 2.90

Calculated values
Calculated volume (Å³ per cell): 36.6
D(E_F) (states/eV per cell): 2.322
Crystal system: hexagonal
Calculated density (g/cm3): 6.035

(two)
An optimized crystal structure of BeSiMo, computed with PBE.

Unit cell a=2.7642 b=2.7642 c=6.0171 alpha=90.00 beta=90.00 gamma=120.00
With the nearest neighbours (Å) after each atom.
Space group P3m1 (No. 156)
One atom of each set of equivalent atoms:
Be: 0.0000 0.0000 0.0000  3 Si 2.45, 3 Mo 2.57
Si: 0.3333 0.6667 0.6907  3 Be 2.45, 3 Mo 2.67
Mo: 0.6667 0.3333 0.3357  3 Be 2.57, 3 Si 2.67, 6 Mo 2.76

Calculated values
Calculated volume (Å³ per cell): 39.8
D(E_F) (states/eV per cell): 2.704
Crystal system: trigonal
Calculated density (g/cm3): 5.548

Result of the stability comparison: (one) is the most stable of them.